[1]
Compound: VHgSe2
Source: the Alexandria database
Functional: PBE
Structure: optimized geometry

Lattice parameters (Å, degrees): 3.3317 3.3331 10.1388 97.72 91.36 119.79
Closest atoms and distances in Å follow each position.
Atoms (fractional coordinates):
V 0.3803 0.5221 0.5273  6 Se 2.50
Hg 0.8992 0.5269 0.0389  6 Hg 3.33-3.34, 1 Se 3.52
Se 0.7724 0.2829 0.6872  3 V 2.50
Se 0.6552 0.0940 0.3672  3 V 2.50

For the formation energy from raw total energies, the calculation gives -2.1 eV per formula unit. For the final energy, the calculation gives -18.50 eV per formula unit. The density of states at the Fermi level is 1.55 states/eV/f.u.



[2]
Compound: Dy2HoLu
Source: the Alexandria database
Functional: PBE
Structure: optimized geometry

Lattice parameters (Å, degrees): 3.5084 3.5084 9.9266 90.00 90.00 90.00
Closest atoms and distances in Å follow each position.
Atoms (fractional coordinates):
Lu 0.5000 0.5000 0.0000  8 Dy 3.49, 4 Lu 3.51
Ho 0.5000 0.5000 0.5000  4 Ho 3.51, 8 Dy 3.52
Dy 0.0000 0.0000 0.7522  4 Lu 3.49, 4 Dy 3.51, 4 Ho 3.52
Dy 0.0000 0.0000 0.2478  4 Lu 3.49, 4 Dy 3.51, 4 Ho 3.52

For the formation energy from the elements, the calculation gives 0.0246 eV/atom. The value obtained for the polymorph energy (0 for the lowest one) is 0 meV/atom. For the final energy, the calculation gives -18.20 eV per formula unit. The density of states at the Fermi level is 5.33 states/eV/f.u.



[3]
Compound: CdBrO2
Source: the Alexandria database
Functional: PBE
Structure: optimized geometry

Lattice parameters (Å, degrees): 6.9314 7.2024 6.4744 90.00 90.00 90.00
Closest atoms and distances in Å follow each position.
Atoms (fractional coordinates):
O 0.4947 0.9127 0.1759  1 Br 1.95
O 0.5053 0.0873 0.6759  1 Br 1.95
O 0.0053 0.4127 0.6759  1 Br 1.95
O 0.9947 0.5873 0.1759  1 Br 1.95
O 0.0553 0.8890 0.5055  1 Br 2.01, 2 Cd 2.20-2.23
O 0.9447 0.1110 0.0055  1 Br 2.01, 2 Cd 2.20-2.23
O 0.4447 0.3890 0.0055  1 Br 2.01, 2 Cd 2.20-2.23
O 0.5553 0.6110 0.5055  1 Br 2.01, 2 Cd 2.20-2.23
Br 0.9872 0.8426 0.0751  2 O 1.95-2.01
Br 0.0128 0.1574 0.5751  2 O 1.95-2.01
Br 0.5128 0.3426 0.5751  2 O 1.95-2.01
Br 0.4872 0.6574 0.0751  2 O 1.95-2.01
Cd 0.1280 0.3657 0.9933  4 O 2.19-2.25
Cd 0.8720 0.6343 0.4933  4 O 2.19-2.25
Cd 0.3720 0.8657 0.4933  4 O 2.19-2.25
Cd 0.6280 0.1343 0.9933  4 O 2.19-2.25

The value obtained for the polymorph energy (0 for the lowest one) is 218 meV/atom. For the formation energy from raw total energies, the calculation gives -0.9 eV per formula unit. For the final energy, the calculation gives -13.40 eV per formula unit. The density of states at the Fermi level is 4.70 states/eV/f.u.



[4]
Compound: Pa5CN4
Source: the Alexandria database
Functional: PBE
Structure: optimized geometry

Lattice parameters (Å, degrees): 3.5284 4.9765 9.3150 105.49 100.92 90.00
Closest atoms and distances in Å follow each position.
Atoms (fractional coordinates):
Pa 0.6008 0.1008 0.2016  4 N 2.49-2.51, 2 C 2.50
Pa 0.8002 0.3002 0.6004  6 N 2.47-2.49
Pa 0.1998 0.6998 0.3996  6 N 2.47-2.49
Pa 0.0000 0.5000 0.0000  2 C 2.49, 4 N 2.50
Pa 0.3992 0.8992 0.7984  4 N 2.49-2.51, 2 C 2.50
C 0.0000 0.0000 0.0000  6 Pa 2.49-2.50
N 0.3994 0.3994 0.7987  6 Pa 2.48-2.50
N 0.7978 0.7978 0.5956  6 Pa 2.47-2.51
N 0.2022 0.2022 0.4044  6 Pa 2.47-2.51
N 0.6006 0.6006 0.2013  6 Pa 2.48-2.50

For the formation energy from raw total energies, the calculation gives -14.2 eV per formula unit. For the final energy, the calculation gives -104.22 eV per formula unit. The density of states at the Fermi level is 4.75 states/eV/f.u.



[5]
Compound: Pr6B2CCl3
Source: the Alexandria database
Functional: PBE
Structure: optimized geometry

Lattice parameters (Å, degrees): 3.9420 8.4786 9.3621 108.28 102.15 90.00
Closest atoms and distances in Å follow each position.
Atoms (fractional coordinates):
Pr 0.3474 0.8961 0.6948  1 C 2.65, 2 B 2.70
Pr 0.6769 0.5581 0.3538  3 B 2.72-2.76
Pr 0.6526 0.1039 0.3052  1 C 2.65, 2 B 2.70
Pr 0.0095 0.2151 0.0190  2 C 2.65, 1 B 2.68
Pr 0.9905 0.7849 0.9810  2 C 2.65, 1 B 2.68
Pr 0.3231 0.4419 0.6462  3 B 2.72-2.76
B 0.8362 0.6713 0.6724  6 Pr 2.68-2.76
B 0.1638 0.3287 0.3276  6 Pr 2.68-2.76
C 0.5000 0.0000 0.0000  6 Pr 2.65
Cl 0.5000 0.5000 0.0000  6 Pr 3.11-3.17
Cl 0.8324 0.1668 0.6647  6 Pr 3.10-3.16
Cl 0.1676 0.8332 0.3353  6 Pr 3.10-3.16

For the formation energy from raw total energies, the calculation gives -10.5 eV per formula unit. For the final energy, the calculation gives -67.32 eV per formula unit. The density of states at the Fermi level is 4.99 states/eV/f.u.



[6]
Compound: Ta2HgRu2
Source: the Alexandria database
Functional: PBE
Structure: optimized geometry

Lattice parameters (Å, degrees): 7.7283 7.7283 2.9907 90.00 90.00 90.00
Closest atoms and distances in Å follow each position.
Atoms (fractional coordinates):
Ru 0.1418 0.6418 0.5000  6 Ta 2.68-2.76, 2 Ru 2.99
Ru 0.6418 0.8582 0.5000  6 Ta 2.68-2.76, 2 Ru 2.99
Ru 0.8582 0.3582 0.5000  6 Ta 2.68-2.76, 2 Ru 2.99
Ru 0.3582 0.1418 0.5000  6 Ta 2.68-2.76, 2 Ru 2.99
Hg 0.0000 0.0000 0.0000  4 Ta 2.96, 2 Hg 2.99
Hg 0.5000 0.5000 0.0000  4 Ta 2.96, 2 Hg 2.99
Ta 0.3544 0.8544 0.0000  6 Ru 2.68-2.76, 2 Hg 2.96, 2 Ta 2.99
Ta 0.8544 0.6456 0.0000  6 Ru 2.68-2.76, 2 Hg 2.96, 2 Ta 2.99
Ta 0.6456 0.1456 0.0000  6 Ru 2.68-2.76, 2 Hg 2.96, 2 Ta 2.99
Ta 0.1456 0.3544 0.0000  6 Ru 2.68-2.76, 2 Hg 2.96, 2 Ta 2.99

For the formation energy from the elements, the calculation gives 0.0719 eV/atom. The value obtained for the polymorph energy (0 for the lowest one) is 126 meV/atom. For the final energy, the calculation gives -42.20 eV per formula unit. The density of states at the Fermi level is 3.98 states/eV/f.u.



The highest final energy belongs to which entry? CdBrO2



Repeat the fourth record exactly.
Compound: Pa5CN4
Source: the Alexandria database
Functional: PBE
Structure: optimized geometry

Lattice parameters (Å, degrees): 3.5284 4.9765 9.3150 105.49 100.92 90.00
Closest atoms and distances in Å follow each position.
Atoms (fractional coordinates):
Pa 0.6008 0.1008 0.2016  4 N 2.49-2.51, 2 C 2.50
Pa 0.8002 0.3002 0.6004  6 N 2.47-2.49
Pa 0.1998 0.6998 0.3996  6 N 2.47-2.49
Pa 0.0000 0.5000 0.0000  2 C 2.49, 4 N 2.50
Pa 0.3992 0.8992 0.7984  4 N 2.49-2.51, 2 C 2.50
C 0.0000 0.0000 0.0000  6 Pa 2.49-2.50
N 0.3994 0.3994 0.7987  6 Pa 2.48-2.50
N 0.7978 0.7978 0.5956  6 Pa 2.47-2.51
N 0.2022 0.2022 0.4044  6 Pa 2.47-2.51
N 0.6006 0.6006 0.2013  6 Pa 2.48-2.50

For the formation energy from raw total energies, the calculation gives -14.2 eV per formula unit. For the final energy, the calculation gives -104.22 eV per formula unit. The density of states at the Fermi level is 4.75 states/eV/f.u.



Which of these has the lowest final energy? Pa5CN4



What did the fourth record say?
Compound: Pa5CN4
Source: the Alexandria database
Functional: PBE
Structure: optimized geometry

Lattice parameters (Å, degrees): 3.5284 4.9765 9.3150 105.49 100.92 90.00
Closest atoms and distances in Å follow each position.
Atoms (fractional coordinates):
Pa 0.6008 0.1008 0.2016  4 N 2.49-2.51, 2 C 2.50
Pa 0.8002 0.3002 0.6004  6 N 2.47-2.49
Pa 0.1998 0.6998 0.3996  6 N 2.47-2.49
Pa 0.0000 0.5000 0.0000  2 C 2.49, 4 N 2.50
Pa 0.3992 0.8992 0.7984  4 N 2.49-2.51, 2 C 2.50
C 0.0000 0.0000 0.0000  6 Pa 2.49-2.50
N 0.3994 0.3994 0.7987  6 Pa 2.48-2.50
N 0.7978 0.7978 0.5956  6 Pa 2.47-2.51
N 0.2022 0.2022 0.4044  6 Pa 2.47-2.51
N 0.6006 0.6006 0.2013  6 Pa 2.48-2.50

For the formation energy from raw total energies, the calculation gives -14.2 eV per formula unit. For the final energy, the calculation gives -104.22 eV per formula unit. The density of states at the Fermi level is 4.75 states/eV/f.u.